An optimized crystal structure of SrAcBiAu, computed with GGA-PBE.

Computed properties:
- Spin magnetization: 0.000 μB per atom
- ρ: 9.1 Mg/m³
- Formation energy: -0.7577 eV/atom
- Uncorrected energy: -3.99 eV/atom

CIF file:
```
data_SrAcBiAu
_symmetry_space_group_name_H-M 'F -4 3 m'
_symmetry_Int_Tables_number 216
_symmetry_space_group_name_Hall 'F -4 2 3'
_cell_length_a 8.068
_cell_length_b 8.068
_cell_length_c 8.068
_cell_angle_alpha 90.00
_cell_angle_beta 90.00
_cell_angle_gamma 90.00
loop_
_atom_site_label
_atom_site_fract_x
_atom_site_fract_y
_atom_site_fract_z
Sr1 0.000 0.000 0.000
Ac1 0.000 0.000 0.500
Bi1 0.250 0.250 0.750
Au1 0.250 0.250 0.250
```


An optimized crystal structure of AcTlBiAu, computed with GGA-PBE.

Computed properties:
- Spin magnetization: 0.000 μB per atom
- ρ: 11.1 Mg/m³
- Formation energy: -0.4565 eV/atom
- Uncorrected energy: -3.86 eV/atom

CIF file:
```
data_AcTlBiAu
_symmetry_space_group_name_H-M 'F -4 3 m'
_symmetry_Int_Tables_number 216
_symmetry_space_group_name_Hall 'F -4 2 3'
_cell_length_a 7.944
_cell_length_b 7.944
_cell_length_c 7.944
_cell_angle_alpha 90.00
_cell_angle_beta 90.00
_cell_angle_gamma 90.00
loop_
_atom_site_label
_atom_site_fract_x
_atom_site_fract_y
_atom_site_fract_z
Ac1 0.000 0.000 0.000
Tl1 0.000 0.000 0.500
Bi1 0.250 0.250 0.250
Au1 0.250 0.250 0.750
```


An optimized crystal structure of AcYBiAu, computed with GGA-PBE.

Computed properties:
- Spin magnetization: 0.252 μB per atom
- ρ: 10.0 Mg/m³
- Formation energy: -0.6406 eV/atom
- Uncorrected energy: -5.07 eV/atom

CIF file:
```
data_AcYBiAu
_symmetry_space_group_name_H-M 'F -4 3 m'
_symmetry_Int_Tables_number 216
_symmetry_space_group_name_Hall 'F -4 2 3'
_cell_length_a 7.836
_cell_length_b 7.836
_cell_length_c 7.836
_cell_angle_alpha 90.00
_cell_angle_beta 90.00
_cell_angle_gamma 90.00
loop_
_atom_site_label
_atom_site_fract_x
_atom_site_fract_y
_atom_site_fract_z
Ac1 0.000 0.000 0.000
Y1 0.000 0.000 0.500
Bi1 0.250 0.250 0.250
Au1 0.250 0.250 0.750
```


An optimized crystal structure of AcZn2BiAu5, computed with GGA-PBE.

Computed properties:
- Spin magnetization: 0.000 μB per atom
- ρ: 12.9 Mg/m³
- Formation energy: -0.2844 eV/atom
- Uncorrected energy: -3.28 eV/atom

CIF file:
```
data_AcZn2BiAu5
_symmetry_space_group_name_H-M 'P 4/m m m'
_symmetry_Int_Tables_number 123
_symmetry_space_group_name_Hall '-P 4 2'
_cell_length_a 5.021
_cell_length_b 5.021
_cell_length_c 7.949
_cell_angle_alpha 90.00
_cell_angle_beta 90.00
_cell_angle_gamma 90.00
loop_
_atom_site_label
_atom_site_fract_x
_atom_site_fract_y
_atom_site_fract_z
Ac1 0.000 0.000 0.000
Zn1 0.500 0.500 0.342
Bi1 0.000 0.000 0.500
Au1 0.000 0.500 0.255
Au2 0.500 0.500 0.000
```


An optimized crystal structure of AcZnBiAu, computed with GGA-PBE.

Computed properties:
- Spin magnetization: 0.000 μB per atom
- ρ: 10.9 Mg/m³
- Formation energy: -0.4719 eV/atom
- Uncorrected energy: -3.61 eV/atom

CIF file:
```
data_AcZnBiAu
_symmetry_space_group_name_H-M 'F -4 3 m'
_symmetry_Int_Tables_number 216
_symmetry_space_group_name_Hall 'F -4 2 3'
_cell_length_a 7.519
_cell_length_b 7.519
_cell_length_c 7.519
_cell_angle_alpha 90.00
_cell_angle_beta 90.00
_cell_angle_gamma 90.00
loop_
_atom_site_label
_atom_site_fract_x
_atom_site_fract_y
_atom_site_fract_z
Ac1 0.000 0.000 0.000
Zn1 0.250 0.250 0.750
Bi1 0.000 0.000 0.500
Au1 0.250 0.250 0.250
```


An optimized crystal structure of Ac2ZnBiAu6, computed with GGA-PBE.

Computed properties:
- Spin magnetization: 0.000 μB per atom
- ρ: 12.3 Mg/m³
- Formation energy: -0.4993 eV/atom
- Uncorrected energy: -3.80 eV/atom

CIF file:
```
data_Ac2ZnBiAu6
_symmetry_space_group_name_H-M 'P m m n'
_symmetry_Int_Tables_number 59
_cell_length_a 5.899
_cell_length_b 8.919
_cell_length_c 9.799
_cell_angle_alpha 90.00
_cell_angle_beta 90.00
_cell_angle_gamma 90.00
loop_
_symmetry_equiv_pos_as_xyz
'x,y,z'
'-x,-y,-z'
'-x+1/2,-y+1/2,z'
'x+1/2,y+1/2,-z'
'x+1/2,-y,-z'
'-x+1/2,y,z'
'-x,y+1/2,-z'
'x,-y+1/2,z'
loop_
_atom_site_label
_atom_site_fract_x
_atom_site_fract_y
_atom_site_fract_z
Ac1 0.250 0.005 0.241
Zn1 0.250 0.750 0.747
Bi1 0.250 0.250 0.789
Au1 0.005 0.750 0.962
Au2 0.010 0.250 0.469
Au3 0.250 0.008 0.591
```


An optimized crystal structure of AcAuBr, computed with GGA-PBE.

Computed properties:
- Spin magnetization: 0.000 μB per atom
- Distance to the lowest polymorph of the same formula: 96 kJ/mol of formula units
- ρ: 8.9 Mg/m³
- Uncorrected energy: -3.97 eV/atom
- Energy relative to the elements, uncorrected: -0.95 eV/atom

CIF file:
```
data_AcAuBr
_symmetry_space_group_name_H-M 'P 3 m 1'
_symmetry_Int_Tables_number 156
_symmetry_space_group_name_Hall 'P 3 -2"'
_cell_length_a 5.1466
_cell_length_b 5.1466
_cell_length_c 4.1073
_cell_angle_alpha 90.00
_cell_angle_beta 90.00
_cell_angle_gamma 120.00
loop_
_atom_site_label
_atom_site_fract_x
_atom_site_fract_y
_atom_site_fract_z
Ac1 0.0000 0.0000 0.0000
Au1 0.6667 0.3333 0.3580
Br1 0.3333 0.6667 0.7705
```


An optimized crystal structure of Ac3AuBr3, computed with GGA-PBE.

Computed properties:
- Spin magnetization: 0.000 μB per atom
- ρ: 6.8 Mg/m³
- Uncorrected energy: -4.31 eV/atom
- Energy relative to the elements, uncorrected: -1.37 eV/atom

CIF file:
```
data_Ac3AuBr3
_symmetry_space_group_name_H-M 'I 41 3 2'
_symmetry_Int_Tables_number 214
_symmetry_space_group_name_Hall 'I 4bd 2c 3'
_cell_length_a 12.945
_cell_length_b 12.945
_cell_length_c 12.945
_cell_angle_alpha 90.00
_cell_angle_beta 90.00
_cell_angle_gamma 90.00
loop_
_atom_site_label
_atom_site_fract_x
_atom_site_fract_y
_atom_site_fract_z
Ac1 0.114 0.364 0.125
Au1 0.125 0.125 0.125
Br1 0.121 0.129 0.625
```